Crystalline BeCdBr2 at its relaxed geometry. Source: Alexandria via LeMat-Bulk, functional GGA-PBE.

Energy relative to the lowest polymorph listed for this composition   98.7 meV/atom
ΔE_f (raw)   -351 meV per atom
E_tot   -2.3477 eV/atom
N(E_F)   0.000 states/eV per cell
SG   R-3m

```
BeCdBr2
1.0
-6.7578 -2.4700 8.4007
-3.7915 0.0037 10.3906
-7.1011 1.8594 8.2738
Br Be Cd
2 1 1
Direct
0.0602 0.0602 0.0602
0.9398 0.9398 0.9398
0.0000 0.0000 0.0000
0.5000 0.5000 0.5000
```

Crystalline CsBe2CdBr8 at its relaxed geometry. Source: Alexandria via LeMat-Bulk, functional GGA-PBE.

ΔE_f (raw)   -948 meV per atom
E_tot   -2.8321 eV/atom
N(E_F)   18.435 states/eV per cell
SG   R-3

```
CsBe2CdBr8
1.0
6.6683 0.0000 0.0000
3.3342 5.7750 0.0000
3.3342 1.9250 9.8878
Be Cd Br Cs
2 1 8 1
Direct
0.2570 0.2570 0.2289
0.7430 0.7430 0.7711
0.0000 0.0000 0.0000
0.2840 0.9599 0.1650
0.7160 0.0401 0.8350
0.1834 0.1834 0.4499
0.5911 0.2840 0.1650
0.4089 0.7160 0.8350
0.9599 0.5911 0.1650
0.0401 0.4089 0.8350
0.8166 0.8166 0.5501
0.5000 0.5000 0.5000
```

Crystalline BeCdFe2Br at its relaxed geometry. Source: Alexandria via LeMat-Bulk, functional GGA-PBE.

ΔE_f (raw)   880 meV per atom
E_tot   -3.7683 eV/atom
N(E_F)   3.899 states/eV per cell
SG   P4/mmm

```
BeCdFe2Br
1.0
4.2682 0.0000 0.0000
0.0000 4.7302 0.0000
0.0000 0.0000 4.2682
Cd Fe Be Br
1 2 1 1
Direct
0.5000 0.5000 0.5000
0.5000 0.0000 0.0000
0.0000 0.0000 0.5000
0.0000 0.0000 0.0000
0.0000 0.5000 0.0000
```

Crystalline BeCd2IrBr at its relaxed geometry. Source: Alexandria via LeMat-Bulk, functional GGA-PBE.

ΔE_f (raw)   1546 meV per atom
E_tot   -1.6718 eV/atom
N(E_F)   6.729 states/eV per cell
SG   P4/mmm

```
BeCd2IrBr
1.0
-3.5366 2.9415 -2.9868
-3.4684 -2.7460 1.4026
-0.8783 3.3011 4.2910
Cd Be Br Ir
2 1 1 1
Direct
0.0000 0.0000 0.5000
0.5000 0.0000 0.0000
0.5000 0.5000 0.5000
0.0000 0.0000 0.0000
0.0000 0.5000 0.0000
```

Crystalline KBe2CdBr8 at its relaxed geometry. Source: Alexandria via LeMat-Bulk, functional GGA-PBE.

ΔE_f (raw)   -917 meV per atom
E_tot   -2.8215 eV/atom
N(E_F)   16.995 states/eV per cell
SG   R-3

```
KBe2CdBr8
1.0
6.5924 0.0000 0.0000
3.2962 5.7092 0.0000
3.2962 1.9031 9.4421
Br Be K Cd
8 2 1 1
Direct
0.8242 0.8242 0.5274
0.5885 0.2859 0.1744
0.2859 0.9512 0.1744
0.9512 0.5885 0.1744
0.0488 0.4115 0.8256
0.7141 0.0488 0.8256
0.4115 0.7141 0.8256
0.1758 0.1758 0.4726
0.7471 0.7471 0.7587
0.2529 0.2529 0.2413
0.5000 0.5000 0.5000
0.0000 0.0000 0.0000
```

Crystalline Li2BeCdBr at its relaxed geometry. Source: Alexandria via LeMat-Bulk, functional GGA-PBE.

ΔE_f (raw)   609 meV per atom
E_tot   -1.4193 eV/atom
N(E_F)   1.443 states/eV per cell
SG   P4/mmm

```
Li2BeCdBr
1.0
5.3299 0.0000 0.0000
0.0000 5.7921 0.0000
0.0000 0.0000 5.3299
Li Br Cd Be
2 1 1 1
Direct
0.0000 0.0000 0.5000
0.5000 0.0000 0.0000
0.0000 0.5000 0.0000
0.0000 0.0000 0.0000
0.5000 0.5000 0.5000
```

Crystalline Be2CdPtBr at its relaxed geometry. Source: Alexandria via LeMat-Bulk, functional GGA-PBE.

ΔE_f (raw)   1325 meV per atom
E_tot   -1.8911 eV/atom
N(E_F)   3.868 states/eV per cell
SG   P4/mmm

```
Be2CdPtBr
1.0
-0.7009 -4.2961 -0.4713
3.3957 -1.0702 4.7050
-3.5113 0.2877 2.5996
Be Pt Br Cd
2 1 1 1
Direct
0.0000 0.0000 0.5000
0.5000 0.0000 0.0000
0.5000 0.5000 0.5000
0.0000 0.5000 0.0000
0.0000 0.0000 0.0000
```

Crystalline BeCdPtBr2 at its relaxed geometry. Source: Alexandria via LeMat-Bulk, functional GGA-PBE.

ΔE_f (raw)   405 meV per atom
E_tot   -2.4008 eV/atom
N(E_F)   2.450 states/eV per cell
SG   P4/mmm

```
BeCdPtBr2
1.0
4.3374 0.0000 0.0000
0.0000 8.5351 0.0000
0.0000 0.0000 4.3374
Be Br Pt Cd
1 2 1 1
Direct
0.0000 0.0000 0.0000
0.5000 0.0000 0.0000
0.0000 0.0000 0.5000
0.5000 0.5000 0.5000
0.0000 0.5000 0.0000
```

Crystalline RbBe2CdBr at its relaxed geometry. Source: Alexandria via LeMat-Bulk, functional GGA-PBE.

ΔE_f (raw)   1063 meV per atom
E_tot   -1.1388 eV/atom
N(E_F)   0.000 states/eV per cell
SG   P4/mmm

```
RbBe2CdBr
1.0
-6.7412 2.3426 -0.7099
-2.4269 -6.6677 1.0429
-0.2794 1.0678 6.1769
Be Rb Br Cd
2 1 1 1
Direct
0.5000 0.0000 0.0000
0.0000 0.5000 0.0000
0.0000 0.0000 0.0000
0.0000 0.0000 0.5000
0.5000 0.5000 0.5000
```

Crystalline BeCdSeBr2 at its relaxed geometry. Source: Alexandria via LeMat-Bulk, functional GGA-PBE.

Energy relative to the lowest polymorph listed for this composition   684.7 meV/atom
ΔE_f (raw)   541 meV per atom
E_tot   -1.7530 eV/atom
N(E_F)   3.749 states/eV per cell
SG   P4/mmm

```
BeCdSeBr2
1.0
5.3268 0.0000 0.0000
0.0000 5.3268 0.0000
0.0000 0.0000 5.4747
Br Cd Se Be
2 1 1 1
Direct
0.0000 0.5000 0.0000
0.5000 0.0000 0.0000
0.0000 0.0000 0.0000
0.0000 0.0000 0.5000
0.5000 0.5000 0.5000
```

Crystalline BeCdSe2Br at its relaxed geometry. Source: Alexandria via LeMat-Bulk, functional GGA-PBE.

Energy relative to the lowest polymorph listed for this composition   814.7 meV/atom
ΔE_f (raw)   818 meV per atom
E_tot   -1.8391 eV/atom
N(E_F)   5.802 states/eV per cell
SG   P4/mmm

```
BeCdSe2Br
1.0
-3.2270 -0.7964 4.0710
-1.8930 -4.3066 -2.3431
3.7498 -2.9514 2.3951
Br Se Cd Be
1 2 1 1
Direct
0.0000 0.0000 0.5000
0.0000 0.5000 0.0000
0.5000 0.0000 0.0000
0.0000 0.0000 0.0000
0.5000 0.5000 0.5000
```

Crystalline BeCdSeBr2 at its relaxed geometry. Source: Alexandria via LeMat-Bulk, functional GGA-PBE.

Energy relative to the lowest polymorph listed for this composition   0.0 meV/atom
ΔE_f (raw)   -143 meV per atom
E_tot   -2.4377 eV/atom
N(E_F)   2.884 states/eV per cell
SG   P4/mmm

```
BeCdSeBr2
1.0
-2.0210 3.3549 -2.3967
-4.0651 -2.0672 0.5343
-0.8226 2.8154 4.6348
Se Br Cd Be
1 2 1 1
Direct
0.0000 0.0000 0.5000
0.5000 0.0000 0.0000
0.0000 0.5000 0.0000
0.5000 0.5000 0.5000
0.0000 0.0000 0.0000
```

Crystalline BeCdSe2Br at its relaxed geometry. Source: Alexandria via LeMat-Bulk, functional GGA-PBE.

Energy relative to the lowest polymorph listed for this composition   0.0 meV/atom
ΔE_f (raw)   3 meV per atom
E_tot   -2.6538 eV/atom
N(E_F)   3.616 states/eV per cell
SG   P4/mmm

```
BeCdSe2Br
1.0
4.3468 0.0000 0.0000
0.0000 4.3468 0.0000
0.0000 0.0000 6.6199
Se Cd Br Be
2 1 1 1
Direct
0.5000 0.0000 0.0000
0.0000 0.5000 0.0000
0.5000 0.5000 0.5000
0.0000 0.0000 0.5000
0.0000 0.0000 0.0000
```

Crystalline TiBeCdBr2 at its relaxed geometry. Source: Alexandria via LeMat-Bulk, functional GGA-PBE.

ΔE_f (raw)   402 meV per atom
E_tot   -2.7744 eV/atom
N(E_F)   4.118 states/eV per cell
SG   P4/mmm

```
TiBeCdBr2
1.0
4.7170 0.0000 0.0000
0.0000 5.2694 0.0000
0.0000 0.0000 4.7170
Br Ti Cd Be
2 1 1 1
Direct
0.5000 0.0000 0.0000
0.0000 0.0000 0.5000
0.0000 0.5000 0.0000
0.5000 0.5000 0.5000
0.0000 0.0000 0.0000
```

Crystalline BeTlCdBr2 at its relaxed geometry. Source: Alexandria via LeMat-Bulk, functional GGA-PBE.

ΔE_f (raw)   375 meV per atom
E_tot   -1.6954 eV/atom
N(E_F)   2.526 states/eV per cell
SG   P4/mmm

```
BeTlCdBr2
1.0
-3.8965 -2.7162 2.8051
-0.6461 -3.8463 -4.6219
3.8600 -3.2776 2.1880
Br Tl Be Cd
2 1 1 1
Direct
0.5000 0.0000 0.0000
0.0000 0.0000 0.5000
0.0000 0.5000 0.0000
0.5000 0.5000 0.5000
0.0000 0.0000 0.0000
```

Crystalline CeBeBr at its relaxed geometry. Source: Alexandria via LeMat-Bulk, functional GGA-PBE.

ΔE_f (raw)   -441 meV per atom
E_tot   -4.2190 eV/atom
N(E_F)   6.297 states/eV per cell
SG   C2/m

```
CeBeBr
1.0
-4.2695 1.9202 3.0898
-0.7545 -0.0232 4.0632
1.8548 8.8998 2.1233
Br Be Ce
2 2 2
Direct
0.1638 0.5010 0.1715
0.8362 0.4990 0.8285
0.0663 0.2827 0.5848
0.9337 0.7173 0.4152
0.5248 0.3167 0.6336
0.4752 0.6833 0.3664
```

Crystalline CsCeBe2Br8 at its relaxed geometry. Source: Alexandria via LeMat-Bulk, functional GGA-PBE.

ΔE_f (raw)   -1395 meV per atom
E_tot   -3.6967 eV/atom
N(E_F)   8.113 states/eV per cell
SG   R-3

```
CsCeBe2Br8
1.0
-4.6515 4.4814 1.9413
-6.4267 -1.9114 0.7291
-1.8064 -1.5993 11.0797
Br Cs Be Ce
8 1 2 1
Direct
0.0363 0.4141 0.8349
0.2852 0.9637 0.1651
0.4141 0.7148 0.8349
0.9637 0.5859 0.1651
0.8120 0.8120 0.5639
0.1880 0.1880 0.4361
0.5859 0.2852 0.1651
0.7148 0.0363 0.8349
0.5000 0.5000 0.5000
0.7460 0.7460 0.7620
0.2540 0.2540 0.2380
0.0000 0.0000 0.0000
```

Crystalline Be2BrCl at its relaxed geometry. Source: Alexandria via LeMat-Bulk, functional GGA-PBE.

Energy relative to the lowest polymorph listed for this composition   898.8 meV/atom
ΔE_f (raw)   510 meV per atom
E_tot   -2.2330 eV/atom
N(E_F)   1.987 states/eV per cell
SG   R-3m

```
Be2BrCl
1.0
5.7158 -0.1633 -0.1009
4.5337 3.4846 -0.1009
4.5337 1.4691 3.1614
Cl Be Br
1 2 1
Direct
0.7500 0.7500 0.7500
0.0080 0.0080 0.0080
0.4920 0.4920 0.4920
0.2500 0.2500 0.2500
```

Crystalline BeBrCl2 at its relaxed geometry. Source: Alexandria via LeMat-Bulk, functional GGA-PBE.

Energy relative to the lowest polymorph listed for this composition   1191.6 meV/atom
ΔE_f (raw)   406 meV per atom
E_tot   -1.8668 eV/atom
N(E_F)   1.759 states/eV per cell
SG   Pmmm

```
BeBrCl2
1.0
3.6812 0.0000 0.0000
0.0000 6.7242 0.0000
0.0000 0.0000 3.8288
Cl Be Br
2 1 1
Direct
0.0000 0.0000 0.0000
0.5000 0.5000 0.0000
0.5000 0.0000 0.5000
0.0000 0.5000 0.5000
```

Crystalline Be2BrCl at its relaxed geometry. Source: Alexandria via LeMat-Bulk, functional GGA-PBE.

Energy relative to the lowest polymorph listed for this composition   158.2 meV/atom
ΔE_f (raw)   -231 meV per atom
E_tot   -2.9736 eV/atom
N(E_F)   0.833 states/eV per cell
SG   Pm

```
Be2BrCl
1.0
3.1351 0.0000 0.0000
0.0000 4.4517 0.0373
0.0000 1.9425 6.4700
Br Be Cl
1 2 1
Direct
0.0000 0.4905 0.3639
0.5000 0.3262 0.1422
0.0000 0.9320 0.0893
0.5000 0.7513 0.9046
```